Computed, not measured: a geometry-optimized CoSnAs structure at the PBE level of DFT.

The structure in POSCAR format:
```
CoSnAs
1.0
4.240 0.000 0.000
0.000 5.147 -0.005
-2.120 -1.269 4.946
As Sn Co
2 2 2
direct
0.412 0.654 0.824
0.588 0.346 0.176
0.140 0.834 0.279
0.860 0.166 0.721
0.190 0.357 0.380
0.810 0.643 0.620
```

Space-group type: C2/m
Formation energy: -0.0780 eV/atom
Density of states at the Fermi level: 3.78 states/eV per cell

Computed, not measured: a geometry-optimized Co3SnAs structure at the PBE level of DFT.

The structure in POSCAR format:
```
Co3SnAs
1.0
-1.391 3.901 -1.391
-0.575 -1.635 -4.010
-4.101 -1.094 1.034
Co Sn As
3 1 1
direct
0.000 0.000 0.500
0.000 0.500 0.000
0.500 0.000 0.000
0.500 0.500 0.500
0.000 0.000 0.000
```

Space-group type: Pm-3m
Formation energy: 0.4778 eV/atom
Density of states at the Fermi level: 4.52 states/eV per cell

Computed, not measured: a geometry-optimized SrCoAs2 structure at the PBE level of DFT.

The structure in POSCAR format:
```
SrCoAs2
1.0
-3.251 -2.253 0.446
-1.649 -1.841 -3.120
1.840 -6.034 0.130
As Co Sr
2 1 1
direct
0.032 0.032 0.900
0.468 0.468 0.600
0.750 0.750 0.750
0.250 0.250 0.250
```

Space-group type: C2/m
Formation energy: -0.5505 eV/atom
Density of states at the Fermi level: 2.03 states/eV per cell

Computed, not measured: a geometry-optimized SrCoAs2 structure at the PBE level of DFT.

The structure in POSCAR format:
```
SrCoAs2
1.0
7.026 0.063 0.027
5.164 4.765 -0.027
-6.072 -2.474 2.528
As Sr Co
2 1 1
direct
0.662 0.162 0.500
0.994 0.994 0.000
0.298 0.798 0.500
0.546 0.546 0.000
```

Space-group type: Imm2
Formation energy: -0.2400 eV/atom
Density of states at the Fermi level: 2.87 states/eV per cell

Computed, not measured: a geometry-optimized SrCo3As3 structure at the PBE level of DFT.

The structure in POSCAR format:
```
SrCo3As3
1.0
6.638 0.000 0.000
3.319 5.749 0.000
3.319 1.916 7.236
Co Sr As
6 2 6
direct
0.217 0.878 0.386
0.783 0.122 0.614
0.520 0.217 0.386
0.878 0.520 0.386
0.480 0.783 0.614
0.122 0.480 0.614
0.332 0.332 0.003
0.668 0.668 0.997
0.216 0.592 0.297
0.784 0.408 0.703
0.105 0.784 0.703
0.592 0.895 0.297
0.408 0.105 0.703
0.895 0.216 0.297
```

Space-group type: R-3
Formation energy: -0.3767 eV/atom
Density of states at the Fermi level: 13.78 states/eV per cell

Computed, not measured: a geometry-optimized SrCoAs structure at the PBE level of DFT.

The structure in POSCAR format:
```
SrCoAs
1.0
4.075 0.000 0.000
-2.037 3.529 0.000
0.000 0.000 4.601
As Sr Co
1 1 1
direct
0.000 0.000 0.167
0.333 0.667 0.667
0.667 0.333 0.167
```

Space-group type: P-6m2
Formation energy: -0.5667 eV/atom
Density of states at the Fermi level: 2.57 states/eV per cell

Computed, not measured: a geometry-optimized SrCoAs2 structure at the PBE level of DFT.

The structure in POSCAR format:
```
SrCoAs2
1.0
5.656 0.088 -0.306
4.295 3.681 -0.306
1.478 0.560 4.694
As Co Sr
2 1 1
direct
0.020 0.020 0.853
0.802 0.802 0.722
0.446 0.446 0.674
0.231 0.231 0.252
```

Space-group type: Cm
Formation energy: -0.2993 eV/atom
Density of states at the Fermi level: 2.98 states/eV per cell

Computed, not measured: a geometry-optimized SrCoAs structure at the PBE level of DFT.

The structure in POSCAR format:
```
SrCoAs
1.0
-0.084 -0.956 3.867
3.731 -6.598 -1.550
8.445 5.979 -0.390
As Sr Co
4 4 4
direct
0.314 0.891 0.628
0.686 0.109 0.372
0.688 0.610 0.377
0.312 0.390 0.623
0.114 0.341 0.228
0.886 0.659 0.772
0.571 0.827 0.143
0.429 0.173 0.857
0.751 0.373 0.502
0.751 0.877 0.502
0.249 0.627 0.498
0.249 0.123 0.498
```

Space-group type: C2/m
Formation energy: -0.4551 eV/atom
Density of states at the Fermi level: 11.53 states/eV per cell

Computed, not measured: a geometry-optimized SrCoAs2 structure at the PBE level of DFT.

The structure in POSCAR format:
```
SrCoAs2
1.0
3.367 0.000 0.000
0.000 3.365 0.000
0.000 0.000 6.874
As Sr Co
2 1 1
direct
0.000 0.000 0.068
0.000 0.000 0.432
0.500 0.500 0.750
0.500 0.500 0.250
```

Space-group type: P4/mmm
Formation energy: -0.1269 eV/atom
Density of states at the Fermi level: 1.97 states/eV per cell

Computed, not measured: a geometry-optimized SrCo3As structure at the PBE level of DFT.

The structure in POSCAR format:
```
SrCo3As
1.0
4.531 0.000 0.000
0.000 4.531 0.000
0.000 0.000 4.531
Co As Sr
3 1 1
direct
0.500 0.000 0.000
0.000 0.500 0.000
0.000 0.000 0.500
0.000 0.000 0.000
0.500 0.500 0.500
```

Space-group type: Pm-3m
Formation energy: 0.2539 eV/atom
Density of states at the Fermi level: 6.77 states/eV per cell

Computed, not measured: a geometry-optimized SrCo2As2 structure at the PBE level of DFT.

The structure in POSCAR format:
```
SrCo2As2
1.0
3.978 -0.003 -0.041
0.003 3.978 -0.041
-1.936 -1.933 5.856
Co As Sr
2 2 1
direct
0.250 0.750 0.500
0.750 0.250 0.500
0.355 0.355 0.709
0.645 0.645 0.291
0.000 0.000 0.000
```

Space-group type: I4/mmm
Formation energy: -0.6210 eV/atom
Density of states at the Fermi level: 2.72 states/eV per cell

Computed, not measured: a geometry-optimized SrCo3As2 structure at the PBE level of DFT.

The structure in POSCAR format:
```
SrCo3As2
1.0
3.856 0.000 0.000
-1.928 6.994 -2.845
0.000 -0.238 7.534
Co As Sr
6 4 2
direct
0.686 0.371 0.451
0.417 0.835 0.362
0.583 0.165 0.638
0.314 0.629 0.549
0.042 0.084 0.396
0.958 0.916 0.604
0.810 0.620 0.337
0.527 0.053 0.215
0.473 0.947 0.785
0.190 0.380 0.663
0.147 0.294 0.059
0.853 0.706 0.941
```

Space-group type: C2/m
Formation energy: -0.4401 eV/atom
Density of states at the Fermi level: 8.23 states/eV per cell